(1)
Tb3PrMg4: relaxed, PBE.

## Properties
Energy relative to the elements, eV/atom: -0.0937
Total magnetic moment, Bohr magnetons per cell: 0.0
DOS(E_F), states/eV/cell: 8.95
ρ, g/cm3: 5.296

Lattice parameters (Å, degrees): 5.4073 5.4073 7.6667 90.00 90.00 90.00
Element x y z (fractional)
1 Tb 0.0000 0.0000 0.0000
2 Tb 0.0000 0.0000 0.5000
3 Tb 0.5000 0.5000 0.0000
4 Pr 0.5000 0.5000 0.5000
5 Mg 0.0000 0.5000 0.2447
6 Mg 0.0000 0.5000 0.7553
7 Mg 0.5000 0.0000 0.2447
8 Mg 0.5000 0.0000 0.7553

(2)
Rb2PmAlTe4: relaxed, PBE.

## Properties
Total magnetic moment, Bohr magnetons per cell: 0.0
DOS(E_F), states/eV/cell: 1.60
Formation energy (no corrections), eV per atom: -0.91
ρ, g/cm3: 4.877

Lattice parameters (Å, degrees): 9.3882 9.3882 9.3882 122.36 118.33 89.43
Element x y z (fractional)
1 Rb 0.0000 0.0000 0.0000
2 Rb 0.5000 0.0000 0.0000
3 Rb 0.5000 0.0000 0.5000
4 Rb 0.5000 0.5000 0.5000
5 Pm 0.0000 0.5000 0.5000
6 Pm 0.5000 0.5000 0.0000
7 Al 0.0000 0.0000 0.5000
8 Al 0.0000 0.5000 0.0000
9 Te 0.1859 0.7394 0.4465
10 Te 0.2071 0.2606 0.9465
11 Te 0.2246 0.2470 0.5224
12 Te 0.2246 0.7022 0.9776
13 Te 0.7754 0.2978 0.0224
14 Te 0.7754 0.7530 0.4776
15 Te 0.7929 0.7394 0.0535
16 Te 0.8141 0.2606 0.5535

(3)
ReIrC3: relaxed, PBE.

## Properties
Energy relative to the elements, eV/atom: 2.2942
Total magnetic moment, Bohr magnetons per cell: 0.0
DOS(E_F), states/eV/cell: 1.09
ρ, g/cm3: 10.869
Distance to the lowest polymorph of the same formula, meV/atom: 0

Lattice parameters (Å, degrees): 3.9858 3.9858 3.9858 90.00 90.00 90.00
Element x y z (fractional)
1 Re 0.0000 0.0000 0.0000
2 Ir 0.5000 0.5000 0.5000
3 C 0.0000 0.0000 0.5000
4 C 0.0000 0.5000 0.0000
5 C 0.5000 0.0000 0.0000

Question: Number 2 is which compound?
Answer: Rb2PmAlTe4